Record 1
9
Lattice="-2.865 -6.942 2.871 -4.201 -4.822 -4.470 3.164 -6.844 -2.009" Properties=species:S:1:pos:R:3 comment="TiTl2I4Br2 | the Alexandria database | PBE | optimized geometry" space_group="C2/m (12)" dft_energy_ev_per_fu=-29.339 pbc="T T T"
I 0.541 -7.962 -1.488
I -4.443 -10.646 -2.120
I -0.687 -11.677 -0.865
Tl -1.506 -10.588 -4.189
Br -3.091 -14.555 -2.707
Ti -1.432 -3.471 1.435
Br -0.811 -4.052 -0.901
I -3.215 -6.931 -2.743
Tl -2.396 -8.020 0.582



Record 2
14
Lattice="8.758 -0.639 0.005 2.298 8.476 0.005 2.265 1.605 9.669" Properties=species:S:1:pos:R:3 comment="TiTlIBr4 | the Alexandria database | PBE | optimized geometry" space_group="C2/m (12)" dft_energy_ev_per_fu=-25.372 pbc="T T T"
Br 6.919 4.904 6.876
Br 5.119 1.298 1.254
I 0.796 0.564 2.052
Ti 4.514 3.199 2.494
Br 9.661 6.847 5.105
Br 3.661 2.595 4.575
Tl 9.434 6.686 0.954
Br 10.401 5.042 8.426
Br 8.203 8.143 8.426
Ti 8.808 6.243 7.186
Tl 3.887 2.755 8.726
I 12.525 8.878 7.628
Br 2.921 4.400 1.254
Br 6.402 4.538 2.804



Record 3
26
Lattice="7.850 0.000 3.303 3.703 13.196 2.179 -0.300 -1.134 11.691" Properties=species:S:1:pos:R:3 comment="TlI3Br9 | the Alexandria database | PBE | optimized geometry" space_group="Cc (9)" dft_energy_ev_per_fu=-23.759 pbc="T T T"
I 2.408 4.728 4.502
Br 5.760 9.182 8.888
Tl 8.307 12.553 10.048
Br 6.989 5.448 13.052
I 4.159 2.292 10.935
Br 9.227 6.136 9.868
I 7.537 1.617 5.555
Br 3.363 4.895 10.800
Br 6.321 6.909 5.940
Tl 8.856 6.522 4.060
Br 8.192 9.626 4.057
Br 0.193 -1.029 11.664
Br 7.295 3.817 4.005
Br 2.024 2.397 5.616
Br 2.825 7.102 3.116
Br 4.122 8.428 12.718
Br 1.646 -0.063 8.217
Br 9.438 9.848 11.126
I 4.649 10.759 11.664
Br 7.628 12.060 6.997
Br 5.071 2.461 8.342
Br 11.333 12.613 9.281
I 6.975 9.457 6.522
Br 3.616 3.151 1.767
I 8.160 7.648 12.036
Br 5.032 -0.256 10.996



Record 4
12
Lattice="6.436 1.303 -7.515 -0.548 9.341 3.469 -4.845 1.367 16.854" Properties=species:S:1:pos:R:3 comment="TlI3Br2 | the Alexandria database | PBE | optimized geometry" space_group="C2/c (15)" dft_energy_ev_per_fu=-12.183 pbc="T T T"
Br -1.687 4.279 13.011
I -0.621 3.992 4.581
Br 1.682 10.472 5.479
Br -0.639 1.539 7.329
I -0.104 8.834 12.293
Br 2.730 7.733 -0.203
Tl 2.852 10.270 2.194
I 2.128 4.848 5.057
I 1.664 8.019 8.227
I -1.085 7.163 7.751
Tl -1.809 1.741 10.614
I 1.147 3.178 0.515



Record 5
5
Lattice="5.908 0.000 0.000 0.000 5.908 0.000 0.000 0.000 5.908" Properties=species:S:1:pos:R:3 comment="TlIBr3 | the Alexandria database | PBE | optimized geometry" space_group="Pm-3m (221)" dft_energy_ev_per_fu=-10.011 polymorph_energy_mev_per_atom=123.7 pbc="T T T"
I 0.000 0.000 0.000
Tl 2.954 2.954 2.954
Br 2.954 0.000 0.000
Br 0.000 2.954 0.000
Br 0.000 0.000 2.954



Record 6
10
Lattice="-5.746 4.851 -5.582 -7.393 -3.940 4.186 -0.085 3.301 2.957" Properties=species:S:1:pos:R:3 comment="TlI2Br2 | the Alexandria database | PBE | optimized geometry" space_group="P4/mbm (127)" dft_energy_ev_per_fu=-8.884 pbc="T T T"
I -9.935 2.134 0.653
Tl -6.570 0.456 -0.698
I -6.499 4.325 -1.694
Br -4.080 2.509 -2.919
I -3.290 2.078 0.907
Br -9.059 -1.598 1.523
Tl 0.000 0.000 0.000
Br -9.594 2.073 -2.592
I -6.725 -0.112 3.254
Br -3.545 -1.162 1.196



Record 7
18
Lattice="-0.154 -6.112 -3.566 10.633 1.100 -5.108 0.556 -7.135 9.441" Properties=species:S:1:pos:R:3 comment="TlI2Br6 | the Alexandria database | PBE | optimized geometry" space_group="C2/c (15)" dft_energy_ev_per_fu=-17.340 polymorph_energy_mev_per_atom=0.0 pbc="T T T"
Tl 9.978 -3.925 -7.004
I 1.835 -6.433 3.641
Br 7.527 -3.302 -5.762
I 9.199 -5.714 -2.874
I 6.384 -5.709 -4.821
Tl 1.057 -8.222 7.771
Br 7.891 -5.445 -0.674
Br 0.829 -3.442 -0.126
Br 0.597 -5.972 6.140
I 4.651 -6.438 5.588
Br 3.507 -8.846 6.529
Br 5.461 -10.424 0.940
Br 10.205 -8.705 0.893
Br 10.438 -6.175 -5.372
Br 9.322 -6.434 4.063
Br 5.574 -1.723 -0.173
Br 1.713 -5.714 -3.296
Br 3.143 -6.702 1.442



Record 8
6
Lattice="-1.593 -4.111 1.542 4.192 -1.912 -0.766 1.959 5.814 10.445" Properties=species:S:1:pos:R:3 comment="TlIBr | the Alexandria database | PBE | optimized geometry" space_group="I4/mmm (139)" dft_energy_ev_per_fu=-7.282 polymorph_energy_mev_per_atom=0.0 pbc="T T T"
I 0.391 0.336 1.298
Br 3.284 -1.304 6.987
Tl 2.194 1.887 7.296
I 4.167 -0.545 9.923
Tl 2.363 -2.096 3.924
Br 1.274 1.096 4.234



Record 9
5
Lattice="4.896 0.000 0.000 0.000 4.896 0.000 2.448 2.448 8.518" Properties=species:S:1:pos:R:3 comment="Tl2I2Br | the Alexandria database | PBE | optimized geometry" space_group="I4/mmm (139)" dft_energy_ev_per_fu=-11.586 polymorph_energy_mev_per_atom=55.1 pbc="T T T"
I 2.448 4.896 4.259
Tl 4.896 4.896 6.808
I 4.896 2.448 4.259
Br 0.000 0.000 0.000
Tl 2.448 2.448 1.709



Record 10
4
Lattice="0.000 4.152 4.152 4.152 0.000 4.152 4.152 4.152 0.000" Properties=species:S:1:pos:R:3 comment="TlI2Br | the Alexandria database | PBE | optimized geometry" space_group="Fm-3m (225)" dft_energy_ev_per_fu=-7.095 polymorph_energy_mev_per_atom=319.3 pbc="T T T"
Br 0.000 0.000 0.000
Tl 4.152 4.152 4.152
I 6.228 6.228 6.228
I 2.076 2.076 2.076



Record 11
80
Lattice="16.941 0.000 0.000 -5.647 15.972 0.000 -5.647 -7.986 13.832" Properties=species:S:1:pos:R:3 comment="Tl12I3Br5 | the Alexandria database | PBE | optimized geometry" space_group="Ia-3d (230)" dft_energy_ev_per_fu=-49.196 pbc="T T T"
Tl -5.762 11.871 4.925
Br -1.412 0.998 8.645
Tl 6.652 -1.010 8.101
I 9.882 10.981 1.729
Br -5.647 3.993 6.916
Tl 2.049 6.347 9.190
Tl 8.125 8.041 2.274
I -4.235 -2.995 12.103
Tl 5.993 -1.941 12.648
Br 1.412 4.991 12.103
Tl -2.478 -0.055 11.559
Tl 3.169 9.983 1.089
Br 4.235 2.995 1.729
Tl -4.873 7.139 7.818
Br -1.412 3.993 3.458
Tl 8.586 4.101 4.925
Br -2.824 7.986 0.000
Tl 2.939 -2.323 8.005
Tl -1.005 8.996 5.732
Br 5.647 -3.993 6.916
Br 7.059 6.988 5.187
Br 7.059 3.993 10.374
Tl -5.532 6.208 12.930
Tl 10.290 -5.469 11.841
I 1.412 7.986 3.458
Br 4.235 11.979 3.458
Tl -2.049 -0.847 6.014
I 4.235 8.984 8.645
Br 9.882 -0.998 8.645
Tl -1.819 5.469 11.841
Tl -2.939 3.885 8.907
Tl 11.640 7.931 2.274
Tl 3.828 6.976 5.732
Tl 9.245 -0.792 3.176
Br 5.647 7.986 0.000
Tl -2.939 -6.208 12.930
Tl 0.774 9.625 9.190
Br -1.412 12.977 1.729
Br 8.471 0.000 0.000
Tl -3.598 8.778 10.657
Tl 2.478 -1.996 12.743
I -1.412 6.988 8.645
Tl 10.520 0.847 6.014
Tl 3.169 6.045 1.184
Tl 11.410 -3.885 8.907
Tl 0.115 5.664 5.827
Br 2.824 3.993 6.916
Tl 2.708 10.309 5.827
Tl 1.819 1.010 8.101
I 1.412 -0.998 5.187
Tl 3.598 1.639 4.643
Tl 12.299 3.527 3.741
Br 7.059 -4.991 12.103
Tl -1.819 -4.459 10.092
I 7.059 0.998 5.187
Tl 5.993 1.996 12.743
Tl 7.466 12.445 3.741
Tl 6.421 7.194 10.657
I -4.235 2.995 12.103
Tl -5.993 0.055 11.559
Br 0.000 0.000 0.000
Br -4.235 8.984 5.187
Tl 8.586 14.194 0.902
Tl -4.643 13.455 1.991
I 4.235 0.000 10.374
Tl 7.466 2.517 1.991
Tl -0.346 9.928 1.184
Br 1.412 -3.993 10.374
Tl 4.873 -1.639 4.643
Br -2.824 -3.993 6.916
I -7.059 7.986 10.374
Tl 5.532 2.323 8.005
Tl -0.774 0.792 3.176
Tl 11.179 1.778 0.902
Tl 7.697 8.833 7.818
Tl 2.478 1.941 12.648
Tl -6.652 4.459 10.092
I 12.706 0.000 3.458
I 9.882 4.991 1.729
Tl -0.346 5.990 1.089



Record 12
8
Lattice="7.296 0.017 0.017 3.646 6.318 0.008 3.643 2.095 6.817" Properties=species:S:1:pos:R:3 comment="TlIBr6 | the Alexandria database | PBE | optimized geometry" space_group="P-1 (2)" dft_energy_ev_per_fu=-15.077 pbc="T T T"
I 0.000 0.000 0.000
Br 5.826 6.656 1.571
Br 10.132 4.270 1.571
Tl 7.292 4.215 3.421
Br 4.453 4.160 5.272
Br 8.684 6.687 5.283
Br 5.901 1.743 1.560
Br 8.758 1.774 5.271